# 1
First-principles (PBE-GGA) data for an optimized crystal structure of Li2TmAlAu4, as listed in Alexandria.

space-group type: R-3m, No. 166
energy relative to the elements: -0.63 eV/atom
density of states at the Fermi level: 2.97 states/eV per cell

```
Li2TmAlAu4
1.0
-4.418 0.608 0.824
-1.980 -2.163 3.459
-0.397 5.575 6.231
Li Tm Al Au
2 1 1 4
Direct
0.755 0.755 0.736
0.245 0.245 0.264
0.000 0.000 0.000
0.500 0.500 0.500
0.391 0.391 0.827
0.870 0.870 0.389
0.130 0.130 0.611
0.609 0.609 0.173
```


# 2
First-principles (PBE-GGA) data for an optimized crystal structure of AlNi2Ag, as listed in Alexandria.

space-group type: I-42d, No. 122
energy relative to the elements: 0.14 eV/atom
density of states at the Fermi level: 2.72 states/eV per cell

```
AlNi2Ag
1.0
-5.872 3.194 0.494
-1.105 -1.020 -6.531
-4.650 -1.134 -2.475
Ni Al Ag
4 2 2
Direct
0.600 0.125 0.250
0.150 0.625 0.250
0.375 0.400 0.750
0.875 0.850 0.750
0.500 0.500 0.000
0.250 0.750 0.500
0.000 0.000 0.000
0.750 0.250 0.500
```


# 3
First-principles (PBE-GGA) data for an optimized crystal structure of LaCuPCl, as listed in Alexandria.

space-group type: R-3m, No. 166
E_form (uncorrected): -1359.8 meV per atom

```
LaCuPCl
1.0
-3.888 0.411 -1.287
-0.901 -0.421 -3.994
-3.554 -12.894 0.039
La Cu P Cl
2 2 2 2
Direct
0.579 0.579 0.262
0.421 0.421 0.738
0.811 0.811 0.568
0.189 0.189 0.432
0.129 0.129 0.614
0.871 0.871 0.386
0.710 0.710 0.871
0.290 0.290 0.129
```


# 4
First-principles (PBE-GGA) data for an optimized crystal structure of Ca2Tl3Sn3, as listed in Alexandria.

space-group type: Pmmm, No. 47
energy relative to the elements: -0.32 eV/atom
density of states at the Fermi level: 2.30 states/eV per cell

```
Ca2Tl3Sn3
1.0
-0.039 -4.822 0.664
1.525 -0.624 -4.440
9.201 0.354 3.111
Ca Tl Sn
2 3 3
Direct
0.000 0.000 0.746
0.000 0.000 0.254
0.500 0.500 0.748
0.500 0.500 0.252
0.500 0.000 0.000
0.500 0.000 0.500
0.000 0.500 0.000
0.000 0.500 0.500
```


Number 1: total magnetic moment 0.0000 μB per atom. Number 2: total magnetic moment 0.0000 μB per atom. Number 3: total magnetic moment 0.0000 μB per atom. Number 4: total magnetic moment 0.0000 μB per atom.